Record 1
This record from the Alexandria database describes a geometry-optimized GdDyTmZn structure. The functional is PBE.

Calculated values
* space group: F-43m (216)

```
GdDyTmZn
1.0
5.3149 0.0000 0.0000
2.6575 4.6029 0.0000
2.6575 1.5343 4.3396
Gd Zn Dy Tm
1 1 1 1
Direct
0.2500 0.2500 0.2500
0.0000 0.0000 0.0000
0.7500 0.7500 0.7500
0.5000 0.5000 0.5000
```

Record 2
This record from the Alexandria database describes a geometry-optimized GdDyW4 structure. The functional is PBE.

Calculated values
* space group: F-43m (216)

```
GdDyW4
1.0
-5.3537 0.7098 1.3005
-3.0426 -4.3258 1.6994
-1.6392 -0.3328 5.2971
W Dy Gd
4 1 1
Direct
0.6249 0.6249 0.1253
0.6249 0.1253 0.6249
0.1253 0.6249 0.6249
0.6249 0.6249 0.6249
0.0000 0.0000 0.0000
0.2500 0.2500 0.2500
```

Record 3
This record from the Alexandria database describes a geometry-optimized GdDy2Y structure. The functional is PBE.

Calculated values
* space group: P4/mmm (123)
* relative energy among the computed polymorphs: 0 meV per atom

```
GdDy2Y
1.0
5.0352 0.0000 0.0000
0.0000 5.0301 0.0000
0.0000 0.0000 5.0301
Gd Dy Y
1 2 1
Direct
0.5000 0.5000 0.5000
0.0000 0.5000 0.0000
0.0000 0.0000 0.5000
0.5000 0.0000 0.0000
```

Record 4
This record from the Alexandria database describes a geometry-optimized GdDy2Y structure. The functional is PBE.

Calculated values
* space group: P4/mmm (123)
* relative energy among the computed polymorphs: 1 meV per atom

```
GdDy2Y
1.0
-3.3234 -1.0296 -0.7510
0.5092 -2.9958 1.8534
-3.3034 4.5896 8.3262
Dy Gd Y
2 1 1
Direct
0.0000 0.0000 0.7495
0.0000 0.0000 0.2505
0.5000 0.5000 0.0000
0.5000 0.5000 0.5000
```

Record 5
This record from the Alexandria database describes a geometry-optimized GdDy2Y structure. The functional is PBE.

Calculated values
* space group: Fm-3m (225)
* relative energy among the computed polymorphs: 99 meV per atom

```
GdDy2Y
1.0
5.6792 0.0000 0.0000
2.8396 4.9183 0.0000
2.8396 1.6394 4.6370
Dy Gd Y
2 1 1
Direct
0.2500 0.2500 0.2500
0.7500 0.7500 0.7500
0.0000 0.0000 0.0000
0.5000 0.5000 0.5000
```

Record 6
This record from the Alexandria database describes a geometry-optimized GdDyZn4 structure. The functional is PBE.

Calculated values
* space group: F-43m (216)

```
GdDyZn4
1.0
5.4764 0.0000 0.0000
2.7382 4.7427 0.0000
2.7382 1.5809 4.4714
Zn Dy Gd
4 1 1
Direct
0.6252 0.1245 0.6252
0.6252 0.6252 0.1245
0.1245 0.6252 0.6252
0.6252 0.6252 0.6252
0.0000 0.0000 0.0000
0.2500 0.2500 0.2500
```

Record 7
This record from the Alexandria database describes a geometry-optimized GdDy2Zn structure. The functional is PBE.

Calculated values
* space group: Fm-3m (225)
* relative energy among the computed polymorphs: 206 meV per atom

```
GdDy2Zn
1.0
5.3240 0.0000 0.0000
2.6620 4.6107 0.0000
2.6620 1.5369 4.3471
Dy Zn Gd
2 1 1
Direct
0.2500 0.2500 0.2500
0.7500 0.7500 0.7500
0.5000 0.5000 0.5000
0.0000 0.0000 0.0000
```

Record 8
This record from the Alexandria database describes a geometry-optimized Gd2DyZn structure. The functional is PBE.

Calculated values
* space group: R-3m (166)
* relative energy among the computed polymorphs: 410 meV per atom

```
Gd2DyZn
1.0
-2.6389 1.4758 -1.7114
-3.1932 -1.3488 0.2341
-4.1616 6.9137 8.8522
Gd Dy Zn
2 1 1
Direct
0.9136 0.9136 0.2592
0.0864 0.0864 0.7408
0.5000 0.5000 0.5000
0.0000 0.0000 0.0000
```

Number 1: total magnetic moment 7.598 Bohr magnetons per cell, energy -6.086 eV per atom. Number 2: total magnetic moment 7.767 Bohr magnetons per cell, energy -11.564 eV per atom. Number 3: total magnetic moment 7.092 Bohr magnetons per cell, energy -7.415 eV per atom. Number 4: total magnetic moment 7.190 Bohr magnetons per cell, energy -7.414 eV per atom. Number 5: total magnetic moment 8.968 Bohr magnetons per cell, energy -7.316 eV per atom. Number 6: total magnetic moment 7.069 Bohr magnetons per cell, energy -4.300 eV per atom. Number 7: total magnetic moment 7.522 Bohr magnetons per cell, energy -6.091 eV per atom. Number 8: total magnetic moment 14.926 Bohr magnetons per cell, energy -8.253 eV per atom.